Material: Tm
Method: DFT, GGA-PBE
State: optimized geometry

abc: 3.473 3.473 3.473
angles: 120.00 90.00 120.00
Positions (direct):
Tm 0.000 0.000 0.000

E_form = 0.032 eV/atom
Energy above the most stable polymorph in this dataset = 0.03 eV per formula unit